# MgNpCo2O6, relaxed, DFT PBE+U
# Space group   P4mm
# Total moment   5.000 μB per formula unit
# Electronic total energy   -0.5197 Ry per atom
# N(E_F)   0.4543 states/eV per atom
data_MgNpCo2O6
_cell_length_a 5.8483
_cell_length_b 5.8483
_cell_length_c 4.1516
_cell_angle_alpha 90.00
_cell_angle_beta 90.00
_cell_angle_gamma 90.00
_symmetry_space_group_name_H-M 'P 1'
_symmetry_Int_Tables_number 1
_symmetry_space_group_name_Hall 'P 1'
loop_
_atom_site_label
_atom_site_type_symbol
_atom_site_fract_x
_atom_site_fract_y
_atom_site_fract_z
Mg1 Mg 0.0000 0.0000 0.0000
Np1 Np 0.5000 0.5000 0.0236
Co1 Co 0.0000 0.5000 0.1829
Co2 Co 0.5000 0.0000 0.1829
O1 O 0.0000 0.0000 0.5101
O2 O 0.2517 0.2517 0.0660
O3 O 0.2517 0.7483 0.0660
O4 O 0.5000 0.5000 0.5304
O5 O 0.7483 0.2517 0.0660
O6 O 0.7483 0.7483 0.0660